P:
PBE-GGA Ba2InGa2, optimized geometry; density = 5.27 g/cm³
1.0
-4.578 -1.232 1.711
1.874 -1.329 4.057
-1.760 7.244 0.507
In Ba Ga
1 2 2
Direct
0.500 0.112 0.224
0.000 0.683 0.367
0.000 0.931 0.863
0.500 0.315 0.630
0.500 0.500 0.000



Q:
PBE-GGA Ba2InGa2, optimized geometry; density = 5.48 g/cm³
1.0
7.731 0.000 0.000
0.000 7.731 0.000
0.000 0.000 5.365
Ga Ba In
4 4 2
Direct
0.619 0.119 0.000
0.381 0.881 0.000
0.119 0.381 0.000
0.881 0.619 0.000
0.187 0.687 0.500
0.687 0.813 0.500
0.313 0.187 0.500
0.813 0.313 0.500
0.000 0.000 0.000
0.500 0.500 0.000



It turns out Q is the most stable, with the second structure 2.8 kJ/mol of atoms higher.



P:
PBE-GGA BaIn3Ga3, optimized geometry; density = 5.18 g/cm³
1.0
7.622 0.000 0.000
0.000 7.622 0.000
0.000 0.000 7.622
Ba Ga In
2 6 6
Direct
0.000 0.000 0.000
0.500 0.500 0.500
0.500 0.000 0.250
0.000 0.250 0.500
0.500 0.000 0.750
0.750 0.500 0.000
0.250 0.500 0.000
0.000 0.750 0.500
0.750 0.000 0.500
0.500 0.250 0.000
0.250 0.000 0.500
0.500 0.750 0.000
0.000 0.500 0.750
0.000 0.500 0.250



Q:
PBE-GGA BaIn3Ga3, optimized geometry; density = 5.83 g/cm³
1.0
4.377 0.000 0.000
0.000 8.849 -5.053
0.000 -0.050 10.190
Ga In Ba
6 6 2
Direct
0.250 0.419 0.468
0.750 0.468 0.049
0.250 0.049 0.581
0.750 0.581 0.532
0.250 0.532 0.951
0.750 0.951 0.419
0.750 0.291 0.204
0.250 0.204 0.914
0.250 0.709 0.796
0.750 0.914 0.709
0.750 0.796 0.086
0.250 0.086 0.291
0.250 0.667 0.333
0.750 0.333 0.667



It turns out Q is the most stable, with the second structure 6.7 kJ/mol of atoms higher.



P:
PBE-GGA Ba6InGa, optimized geometry; density = 4.17 g/cm³
1.0
-3.988 -4.536 0.415
1.204 -1.582 -5.718
6.563 -9.732 0.870
Ba In Ga
6 1 1
Direct
0.411 0.911 0.178
0.089 0.589 0.822
0.589 0.089 0.822
0.911 0.411 0.178
0.251 0.251 0.498
0.749 0.749 0.502
0.500 0.500 0.000
0.000 0.000 0.000



Q:
PBE-GGA Ba6InGa, optimized geometry; density = 3.72 g/cm³
1.0
-6.303 0.821 -5.266
2.150 -0.686 -8.027
-0.089 -7.408 -3.722
Ba In Ga
6 1 1
Direct
0.253 0.917 0.641
0.747 0.083 0.359
0.742 0.745 0.000
0.253 0.558 0.359
0.747 0.442 0.641
0.258 0.255 0.000
0.000 0.000 0.000
0.500 0.500 0.000



It turns out P is the most stable, with the second structure 10.2 kJ/mol of atoms higher.



P:
PBE-GGA Ba2Ga2Ir, optimized geometry; density = 6.52 g/cm³
1.0
7.935 0.000 -0.802
0.000 7.597 0.000
-2.003 0.000 10.443
Ir Ga Ba
4 8 8
Direct
0.355 0.420 0.409
0.145 0.920 0.591
0.855 0.080 0.409
0.645 0.580 0.591
0.839 0.824 0.564
0.161 0.176 0.436
0.193 0.042 0.808
0.807 0.958 0.192
0.339 0.676 0.564
0.307 0.542 0.192
0.661 0.324 0.436
0.693 0.458 0.808
0.050 0.419 0.671
0.969 0.768 0.942
0.469 0.732 0.942
0.450 0.919 0.329
0.531 0.268 0.058
0.031 0.232 0.058
0.950 0.581 0.329
0.550 0.081 0.671



Q:
PBE-GGA Ba2Ga2Ir, optimized geometry; density = 7.67 g/cm³
1.0
6.927 0.000 0.000
0.000 6.927 0.000
0.000 0.000 5.473
Ba Ir Ga
4 2 4
Direct
0.817 0.317 0.500
0.683 0.817 0.500
0.183 0.683 0.500
0.317 0.183 0.500
0.500 0.500 0.000
0.000 0.000 0.000
0.148 0.352 0.000
0.648 0.148 0.000
0.852 0.648 0.000
0.352 0.852 0.000



It turns out P is the most stable, with the second structure 21.3 kJ/mol of atoms higher.



P:
PBE-GGA KBaGa3, optimized geometry; density = 3.94 g/cm³
1.0
4.438 0.000 0.000
0.000 5.127 -0.980
0.000 0.073 14.277
Ga Ba K
6 2 2
Direct
0.750 0.615 0.230
0.250 0.659 0.318
0.750 0.341 0.682
0.250 0.385 0.770
0.250 0.477 0.954
0.750 0.523 0.046
0.250 0.070 0.140
0.750 0.930 0.860
0.250 0.794 0.588
0.750 0.206 0.412



Q:
PBE-GGA KBaGa3, optimized geometry; density = 2.75 g/cm³
1.0
-3.624 3.558 3.466
-3.967 0.508 -4.670
-2.989 -4.989 1.996
Ga Ba K
3 1 1
Direct
0.000 0.000 0.500
0.500 0.000 0.000
0.000 0.500 0.000
0.000 0.000 0.000
0.500 0.500 0.500



It turns out P is the most stable, with the second structure 80.8 kJ/mol of atoms higher.



P:
PBE-GGA BaLaGa, optimized geometry; density = 5.48 g/cm³
1.0
8.674 0.000 0.000
0.000 3.784 0.000
0.000 0.000 12.781
Ga Ba La
4 4 4
Direct
0.375 0.250 0.793
0.125 0.750 0.293
0.625 0.750 0.207
0.875 0.250 0.707
0.166 0.750 0.591
0.834 0.250 0.409
0.334 0.250 0.091
0.666 0.750 0.909
0.094 0.750 0.851
0.906 0.250 0.149
0.594 0.750 0.649
0.406 0.250 0.351



Q:
PBE-GGA BaLaGa, optimized geometry; density = 4.98 g/cm³
1.0
4.714 -0.078 0.826
-0.040 7.208 0.914
1.188 2.738 7.347
Ba La Ga
2 2 2
Direct
0.296 0.795 0.409
0.704 0.205 0.591
0.000 0.713 0.000
0.000 0.287 0.000
0.606 0.606 0.789
0.394 0.394 0.211



It turns out Q is the most stable, with the second structure 1.5 kJ/mol of atoms higher.



P:
PBE-GGA BaLa2Ga2, optimized geometry; density = 6.07 g/cm³
1.0
9.216 0.000 0.000
0.000 9.216 0.000
0.000 0.000 3.573
La Ba Ga
4 2 4
Direct
0.379 0.879 0.000
0.879 0.621 0.000
0.121 0.379 0.000
0.621 0.121 0.000
0.000 0.000 0.000
0.500 0.500 0.000
0.173 0.673 0.500
0.327 0.173 0.500
0.827 0.327 0.500
0.673 0.827 0.500



Q:
PBE-GGA BaLa2Ga2, optimized geometry; density = 5.03 g/cm³
1.0
5.475 0.000 0.000
0.000 5.475 0.000
2.737 2.737 6.110
Ga Ba La
2 1 2
Direct
0.750 0.250 0.500
0.250 0.750 0.500
0.000 0.000 0.000
0.653 0.653 0.694
0.347 0.347 0.306



It turns out P is the most stable, with the second structure 15.8 kJ/mol of atoms higher.



P:
PBE-GGA BaLa2GaN, optimized geometry; density = 4.66 g/cm³
1.0
-5.681 -0.837 -1.014
1.013 -5.653 -1.007
-0.752 -1.038 5.070
N Ga La Ba
1 1 2 1
Direct
0.500 0.500 0.500
0.000 0.000 0.500
0.000 0.500 0.000
0.500 0.000 0.000
0.000 0.000 0.000



Q:
PBE-GGA BaLa2GaN, optimized geometry; density = 5.81 g/cm³
1.0
-3.024 -3.707 -1.703
2.078 0.424 -4.614
3.824 -3.752 1.377
La N Ba Ga
2 1 1 1
Direct
0.000 0.500 0.000
0.500 0.000 0.000
0.000 0.000 0.000
0.000 0.000 0.500
0.500 0.500 0.500



It turns out Q is the most stable, with the second structure 229.8 kJ/mol of atoms higher.



P:
PBE-GGA Ba2LiGa2, optimized geometry; density = 4.01 g/cm³
1.0
3.968 0.000 0.000
0.000 3.968 0.000
1.984 1.984 11.065
Ga Li Ba
2 1 2
Direct
0.250 0.750 0.500
0.750 0.250 0.500
0.000 0.000 0.000
0.616 0.616 0.767
0.384 0.384 0.233



Q:
PBE-GGA Ba2LiGa2, optimized geometry; density = 3.91 g/cm³
1.0
-3.793 4.180 3.457
-4.685 -0.398 -4.659
-5.925 -1.263 1.363
Ga Ba Li
2 2 1
Direct
0.649 0.649 0.702
0.351 0.351 0.298
0.750 0.250 0.500
0.250 0.750 0.500
0.000 0.000 0.000



It turns out Q is the most stable, with the second structure 12.0 kJ/mol of atoms higher.



P:
PBE-GGA Ba2LiGa2, optimized geometry; density = 4.30 g/cm³
1.0
4.368 0.000 -1.653
-1.137 5.924 -3.005
-0.008 -0.499 6.576
Ga Li Ba
2 1 2
Direct
0.500 0.192 0.000
0.500 0.808 0.000
0.000 0.000 0.000
0.823 0.323 0.647
0.177 0.677 0.353



Q:
PBE-GGA Ba2LiGa2, optimized geometry; density = 4.09 g/cm³
1.0
9.688 0.000 0.000
0.000 9.688 0.000
0.000 0.000 3.642
Ga Ba Li
4 4 2
Direct
0.104 0.604 0.500
0.604 0.896 0.500
0.896 0.396 0.500
0.396 0.104 0.500
0.186 0.314 0.000
0.814 0.686 0.000
0.686 0.186 0.000
0.314 0.814 0.000
0.500 0.500 0.000
0.000 0.000 0.000



R:
PBE-GGA Ba2LiGa2, optimized geometry; density = 4.14 g/cm³
1.0
-0.127 1.460 -6.224
-1.344 -6.209 1.856
-8.207 4.586 1.243
Ga Li Ba
4 2 4
Direct
0.313 0.303 0.494
0.010 0.697 0.006
0.990 0.303 0.994
0.687 0.697 0.506
0.888 0.000 0.250
0.112 0.000 0.750
0.535 0.713 0.861
0.178 0.713 0.361
0.822 0.287 0.639
0.465 0.287 0.139



It turns out P is the most stable, with the second structure 2.8 kJ/mol of atoms higher.